Pm2MnFeO6: relaxed, PBE+U.

Total magnetization, μB/f.u.: 7.00
Energy, eV per atom: -7.72

Lattice parameters (Å, degrees): 5.4363 5.7390 9.3563 90.00 124.71 90.00
Last column: nearest neighbours and their distance in Å.
Sites, in units of the cell vectors:
Pm 0.2306 0.0666 0.2488  6 O 2.35-2.57
Pm 0.2306 0.4334 0.7488  6 O 2.35-2.57
Pm 0.7694 0.5666 0.2512  6 O 2.35-2.57
Pm 0.7694 0.9334 0.7512  6 O 2.35-2.57
Mn 0.5000 0.0000 0.0000  6 O 1.94-1.98
Mn 0.5000 0.5000 0.5000  6 O 1.94-1.98
Fe 0.0000 0.0000 0.5000  6 O 2.06-2.16
Fe 0.0000 0.5000 0.0000  6 O 2.06-2.16
O 0.1625 0.1872 0.9518  1 Mn 1.94, 1 Fe 2.16
O 0.1625 0.3128 0.4518  1 Mn 1.94, 1 Fe 2.16
O 0.2633 0.7127 0.9493  1 Mn 1.98, 1 Fe 2.13
O 0.2633 0.7873 0.4493  1 Mn 1.98, 1 Fe 2.13
O 0.3542 0.0286 0.7564  1 Mn 1.95, 1 Fe 2.06
O 0.3542 0.4714 0.2564  1 Mn 1.95, 1 Fe 2.06
O 0.6458 0.5286 0.7436  1 Mn 1.95, 1 Fe 2.06
O 0.6458 0.9714 0.2436  1 Mn 1.95, 1 Fe 2.06
O 0.7367 0.2127 0.5507  1 Mn 1.98, 1 Fe 2.13
O 0.7367 0.2873 0.0507  1 Mn 1.98, 1 Fe 2.13
O 0.8375 0.6872 0.5482  1 Mn 1.94, 1 Fe 2.16
O 0.8375 0.8128 0.0482  1 Mn 1.94, 1 Fe 2.16